(1)
The following is a PBE calculation of a relaxed structure of Ce3ErSc2Se6, from Alexandria.

Calculated values
Crystal system   monoclinic
Final energy   -6.3852 eV/atom
Formation energy from raw total energies   -1.724 eV per atom
Theoretical density   6.698 Mg/m³
Fermi-level density of states   1.60 states/eV per atom

```
12
Lattice="6.9694 -0.0038 -0.0013 -3.4863 6.0348 -0.0013 -1.1630 -2.0138 6.7891" Properties=species:S:1:pos:R:3 pbc="T T T"
Ce -2.3559 4.0392 3.3932
Ce 4.6760 -0.0220 3.3932
Ce 1.1600 2.0086 3.3932
Er 0.0000 0.0000 0.0000
Sc -0.0077 4.0258 -0.0013
Sc 3.4908 2.0052 -0.0013
Se 3.5071 1.9632 5.2388
Se 2.2954 3.9745 1.5236
Se -1.1870 2.0540 1.5476
Se -0.0522 4.0188 5.2388
Se 0.0247 0.0427 5.2628
Se 2.3723 -0.0016 1.5476
```

(2)
The following is a PBE calculation of a relaxed structure of CsLaBr4, from Alexandria.

Calculated values
Crystal system   monoclinic
Final energy   -3.9822 eV/atom
Formation energy from raw total energies   -1.903 eV per atom
Theoretical density   3.803 Mg/m³
Excess energy over the best structure of this formula in the dataset   18 meV/atom
Fermi-level density of states   0.00 states/eV per atom

```
12
Lattice="7.1345 0.0000 3.4621 0.0257 7.9402 -0.0530 -0.0147 -0.3764 9.1125" Properties=species:S:1:pos:R:3 pbc="T T T"
Cs 5.6246 1.8573 6.5736
Cs 1.5209 5.7064 5.9480
La 3.8088 5.3853 10.3154
La 3.3367 2.1785 2.2062
Br 4.9955 6.3620 7.8698
Br 4.4368 4.4277 3.9835
Br 5.3482 0.0000 2.5953
Br 5.8858 3.1361 10.0798
Br 2.1499 1.2017 4.6517
Br 2.7087 3.1361 8.5380
Br 1.7862 0.0000 0.8668
Br 1.2597 4.4277 2.4418
```

(3)
The following is a PBE calculation of a relaxed structure of Rb2ScPa3O12, from Alexandria.

Calculated values
Crystal system   trigonal
Final energy   -8.0349 eV/atom
Formation energy from raw total energies   -2.687 eV per atom
Theoretical density   5.068 Mg/m³
Fermi-level density of states   0.82 states/eV per atom

```
18
Lattice="7.8204 -0.1741 -0.1235 3.7108 6.8862 -0.1235 3.7108 2.1600 6.5398" Properties=species:S:1:pos:R:3 pbc="T T T"
Rb 9.9178 5.7730 4.0947
Rb 5.3242 3.0991 2.1982
Sc 0.0000 0.0000 0.0000
Pa 3.9102 -0.0870 -0.0617
Pa 1.8554 3.4431 -0.0617
Pa 1.8554 1.0800 3.2699
O 7.1798 4.1793 6.1371
O 11.9676 6.9662 1.7932
O 9.3844 8.4333 5.9817
O 9.7836 2.7005 1.9154
O 11.9676 3.9954 5.9817
O 7.1798 7.1736 1.9154
O 8.0622 4.6928 0.1558
O 3.2744 1.9059 4.4996
O 5.8576 0.4388 0.3112
O 5.4584 6.1716 4.3775
O 3.2744 4.8767 0.3112
O 8.0622 1.6985 4.3775
```

(4)
The following is a PBE calculation of a relaxed structure of LiAl2AgSe4, from Alexandria.

Calculated values
Crystal system   tetragonal
Final energy   -4.1057 eV/atom
Formation energy from raw total energies   -0.832 eV per atom
Theoretical density   4.135 Mg/m³

```
8
Lattice="-1.7087 5.1779 -1.2090 -5.1072 -1.9518 -1.1395 1.7562 -0.7676 7.1306" Properties=species:S:1:pos:R:3 pbc="T T T"
Li -3.4090 1.6136 -1.1716
Al -1.6802 3.0117 2.3741
Al -3.3795 -0.5533 2.4088
Ag -5.0591 2.4581 4.7806
Se -2.8396 1.3903 3.7717
Se -4.6747 0.1285 0.4638
Se -3.0401 3.5576 0.4303
Se 0.4348 -0.1595 4.9002
```

(5)
The following is a PBE calculation of a relaxed structure of KMnCo, from Alexandria.

Calculated values
Crystal system   cubic
Final energy   -3.7626 eV/atom
Theoretical density   2.790 Mg/m³
Excess energy over the best structure of this formula in the dataset   1303 meV/atom
Fermi-level density of states   2.83 states/eV per atom
Formation enthalpy at 0 K   2.028 eV per atom

```
3
Lattice="5.0495 0.0000 0.0000 2.5248 4.3730 0.0000 2.5248 1.4577 4.1229" Properties=species:S:1:pos:R:3 pbc="T T T"
Co 5.0495 2.9154 2.0615
K 7.5743 4.3730 3.0922
Mn 0.0000 0.0000 0.0000
```

(6)
The following is a PBE calculation of a relaxed structure of MoWN, from Alexandria.

Calculated values
Crystal system   monoclinic
Final energy   -10.5760 eV/atom
Formation energy from raw total energies   0.127 eV per atom
Theoretical density   12.171 Mg/m³
Excess energy over the best structure of this formula in the dataset   137 meV/atom
Fermi-level density of states   0.72 states/eV per atom

```
6
Lattice="-2.8073 -0.3507 -0.1304 0.6039 -5.1695 0.9027 0.8707 2.5786 5.0730" Properties=species:S:1:pos:R:3 pbc="T T T"
Mo 0.4309 -3.8358 1.0392
Mo -1.7636 0.8941 4.8061
N -1.4929 -0.9593 3.9640
N 0.1603 -1.9823 1.8813
W -1.2214 -2.8613 3.2339
W -0.1113 -0.0804 2.6113
```

(7)
The following is a PBE calculation of a relaxed structure of CaNdTl, from Alexandria.

Calculated values
Crystal system   trigonal
Final energy   -3.2614 eV/atom
Theoretical density   6.530 Mg/m³
Excess energy over the best structure of this formula in the dataset   154 meV/atom
Fermi-level density of states   0.42 states/eV per atom
Formation enthalpy at 0 K   -0.216 eV per atom

```
6
Lattice="-4.3133 -2.4341 -2.0514 -2.6286 -3.6760 2.8850 -4.6435 5.6925 3.0156" Properties=species:S:1:pos:R:3 pbc="T T T"
Ca -5.0621 -0.0929 0.2488
Ca -6.5233 -0.3247 3.6004
Nd -7.4589 2.8466 1.8052
Nd -4.1265 -3.2642 2.0440
Tl -4.9375 2.6040 3.7952
Tl -6.6479 -3.0216 0.0540
```

(8)
The following is a PBE calculation of a relaxed structure of Ac4HoEr3Se8, from Alexandria.

Calculated values
Crystal system   trigonal
Final energy   -5.6914 eV/atom
Formation energy from raw total energies   -1.780 eV per atom
Theoretical density   8.404 Mg/m³
Fermi-level density of states   0.41 states/eV per atom

```
16
Lattice="-5.8807 -2.4422 5.2248 5.7920 -5.2548 4.0628 1.8620 7.9960 -0.6594" Properties=species:S:1:pos:R:3 pbc="T T T"
Ac -2.9403 -1.2211 2.6124
Ac -2.0094 2.7769 2.2827
Ac 0.0000 0.0000 0.0000
Ac 0.9310 3.9980 -0.3297
Ho 2.8960 -2.6274 2.0314
Er -0.0444 -3.8485 4.6438
Er 0.8866 0.1495 4.3141
Er 3.8270 1.3706 1.7017
Se 4.5544 3.4639 3.5097
Se 3.6267 -0.5245 3.8368
Se 1.0889 2.0474 2.1827
Se 1.6238 2.2468 6.1135
Se 0.1495 -1.9478 2.5148
Se 0.6843 -1.7485 6.4456
Se -1.8534 0.8234 4.7914
Se -2.7812 -3.1649 5.1186
```

(9)
The following is a PBE calculation of a relaxed structure of Fe3Pb, from Alexandria.

Calculated values
Crystal system   cubic
Final energy   -6.8641 eV/atom
Theoretical density   10.335 Mg/m³
Fermi-level density of states   0.56 states/eV per atom
Formation enthalpy at 0 K   0.410 eV per atom

```
8
Lattice="4.9382 0.0000 0.0000 0.0000 4.9382 0.0000 0.0000 0.0000 4.9382" Properties=species:S:1:pos:R:3 pbc="T T T"
Fe 1.2345 2.4691 0.0000
Fe 3.7036 2.4691 0.0000
Fe 0.0000 1.2345 2.4691
Fe 0.0000 3.7036 2.4691
Fe 2.4691 0.0000 1.2345
Fe 2.4691 0.0000 3.7036
Pb 0.0000 0.0000 0.0000
Pb 2.4691 2.4691 2.4691
```

(10)
The following is a PBE calculation of a relaxed structure of Tb2Ce, from Alexandria.

Calculated values
Crystal system   cubic
Final energy   -4.6714 eV/atom
Theoretical density   7.520 Mg/m³
Excess energy over the best structure of this formula in the dataset   356 meV/atom
Fermi-level density of states   4.07 states/eV per atom
Formation enthalpy at 0 K   0.393 eV per atom

```
6
Lattice="-5.7884 2.6789 -1.6517 -5.4853 -1.7885 3.1817 -2.9610 4.2286 4.0941" Properties=species:S:1:pos:R:3 pbc="T T T"
Tb -6.0025 1.8600 4.3409
Tb -6.1540 4.0936 1.9242
Tb -8.8967 3.1994 3.5150
Tb -7.4162 1.0851 1.4680
Ce 0.0000 0.0000 0.0000
Ce -3.5587 1.2798 1.4060
```